A) Compound: TlAsH
Source: Alexandria
Functional: PBE
Structure: optimized geometry

Computed properties:
SG ... No. 12
Magnetic moment ... 0.000 μB/atom

a = 3.701 Å, b = 3.700 Å, c = 9.407 Å
α = 97.68°, β = 82.34°, γ = 104.59°
Atoms (fractional coordinates):
As 0.326 0.157 0.382
As 0.920 0.563 0.505
Tl 0.417 0.065 0.789
Tl 0.828 0.655 0.098
H 0.874 0.112 0.944
H 0.371 0.609 0.944

---

B) Compound: TlAsH
Source: Alexandria
Functional: PBE
Structure: optimized geometry

Computed properties:
SG ... No. 43
Magnetic moment ... 0.000 μB/atom

a = 6.376 Å, b = 8.202 Å, c = 6.376 Å
α = 79.38°, β = 58.26°, γ = 100.62°
Atoms (fractional coordinates):
H 0.746 0.740 0.910
H 0.340 0.240 0.504
H 0.350 0.260 0.994
H 0.256 0.760 0.900
Tl 0.834 0.856 0.402
Tl 0.848 0.356 0.416
Tl 0.228 0.644 0.507
Tl 0.743 0.144 0.022
As 0.361 0.960 0.851
As 0.399 0.460 0.889
As 0.189 0.040 0.599
As 0.651 0.540 0.061

---

Least stable: A)

---

A) Compound: TlAs2H
Source: Alexandria
Functional: PBE
Structure: optimized geometry

Computed properties:
SG ... No. 225
Magnetic moment ... 0.000 μB/atom

a = 4.762 Å, b = 4.762 Å, c = 4.762 Å
α = 60.00°, β = 60.00°, γ = 60.00°
Atoms (fractional coordinates):
H 0.000 0.000 0.000
As 0.250 0.250 0.250
As 0.750 0.750 0.750
Tl 0.500 0.500 0.500

---

B) Compound: TlAs2H
Source: Alexandria
Functional: PBE
Structure: optimized geometry

Computed properties:
SG ... No. 59
Magnetic moment ... 0.000 μB/atom

a = 8.220 Å, b = 5.742 Å, c = 3.775 Å
α = 90.00°, β = 90.00°, γ = 90.00°
Atoms (fractional coordinates):
As 0.602 0.531 0.250
As 0.602 0.969 0.250
As 0.398 0.031 0.750
As 0.398 0.469 0.750
Tl 0.881 0.250 0.750
Tl 0.119 0.750 0.250
H 0.025 0.250 0.250
H 0.975 0.750 0.750

---

Least stable: A)

---

A) Compound: TlAsH3
Source: Alexandria
Functional: PBE
Structure: optimized geometry

Computed properties:
SG ... No. 221
Magnetic moment ... 0.000 μB/atom

a = 3.979 Å, b = 3.979 Å, c = 3.979 Å
α = 90.00°, β = 90.00°, γ = 90.00°
Atoms (fractional coordinates):
H 0.000 0.500 0.000
H 0.000 0.000 0.500
H 0.500 0.000 0.000
As 0.000 0.000 0.000
Tl 0.500 0.500 0.500

---

B) Compound: TlAsH3
Source: Alexandria
Functional: PBE
Structure: optimized geometry

Computed properties:
SG ... No. 59
Magnetic moment ... 0.000 μB/atom

a = 5.406 Å, b = 4.140 Å, c = 7.495 Å
α = 90.00°, β = 90.00°, γ = 90.00°
Atoms (fractional coordinates):
H 0.500 0.277 0.137
H 0.000 0.777 0.863
H 0.000 0.223 0.863
H 0.000 0.500 0.480
H 0.500 0.000 0.520
H 0.500 0.723 0.137
As 0.500 0.000 0.282
As 0.000 0.500 0.718
Tl 0.500 0.000 0.798
Tl 0.000 0.500 0.202

---

C) Compound: TlAsH3
Source: Alexandria
Functional: PBE
Structure: optimized geometry

Computed properties:
SG ... No. 221
Magnetic moment ... 0.318 μB/atom

a = 4.040 Å, b = 4.040 Å, c = 4.040 Å
α = 90.00°, β = 90.00°, γ = 90.00°
Last column: magnetic moment on the atom in μB.
Atoms (fractional coordinates):
Tl 0.000 0.000 0.000  0.03
As 0.500 0.500 0.500  0.71
H 0.500 0.000 0.000  0.02
H 0.000 0.000 0.500  0.00
H 0.000 0.500 0.000  0.01

---

Least stable: C)

---

A) Compound: UAsH2
Source: Alexandria
Functional: PBE
Structure: optimized geometry

Computed properties:
SG ... No. 166
Magnetic moment ... 0.256 μB/atom

a = 3.693 Å, b = 3.693 Å, c = 4.628 Å
α = 66.48°, β = 66.48°, γ = 60.00°
Last column: magnetic moment on the atom in μB.
Atoms (fractional coordinates):
U 0.500 0.500 0.500  1.08
H 0.798 0.798 0.605  -0.01
H 0.202 0.202 0.395  -0.01
As 0.000 0.000 0.000  -0.07

---

B) Compound: UAsH2
Source: Alexandria
Functional: PBE
Structure: optimized geometry

Computed properties:
SG ... No. 38
Magnetic moment ... 0.236 μB/atom

a = 3.707 Å, b = 3.940 Å, c = 3.940 Å
α = 114.71°, β = 90.00°, γ = 90.00°
Last column: magnetic moment on the atom in μB.
Atoms (fractional coordinates):
U 0.500 0.390 0.610  0.94
H 0.500 0.511 0.162  -0.01
H 0.500 0.838 0.489  -0.01
As 0.000 0.041 0.959  -0.05

---

Least stable: B)

---

A) Compound: UAsH
Source: Alexandria
Functional: PBE
Structure: optimized geometry

Computed properties:
SG ... No. 187
Magnetic moment ... 0.666 μB/atom

a = 3.836 Å, b = 3.855 Å, c = 3.855 Å
α = 120.00°, β = 90.00°, γ = 90.00°
Last column: magnetic moment on the atom in μB.
Atoms (fractional coordinates):
H 0.166 0.000 0.000  -0.01
U 0.167 0.333 0.667  1.95
As 0.667 0.667 0.333  -0.09

---

B) Compound: UAsH
Source: Alexandria
Functional: PBE
Structure: optimized geometry

Computed properties:
SG ... No. 38
Magnetic moment ... 0.859 μB/atom

a = 2.856 Å, b = 3.635 Å, c = 5.007 Å
α = 111.30°, β = 89.99°, γ = 90.01°
Last column: magnetic moment on the atom in μB.
Atoms (fractional coordinates):
U 0.332 0.979 0.245  2.54
As 0.832 0.268 0.824  -0.09
H 0.832 0.542 0.372  -0.02

---

Least stable: B)

---

A) Compound: VAsH3
Source: Alexandria
Functional: PBE
Structure: optimized geometry

Computed properties:
SG ... No. 221
Magnetic moment ... 0.725 μB/atom

a = 3.704 Å, b = 3.704 Å, c = 3.704 Å
α = 90.00°, β = 90.00°, γ = 90.00°
Last column: magnetic moment on the atom in μB.
Atoms (fractional coordinates):
H 0.500 0.000 0.000  0.00
H 0.000 0.000 0.500  0.00
H 0.000 0.500 0.000  0.00
As 0.000 0.000 0.000  -0.03
V 0.500 0.500 0.500  2.96

---

B) Compound: VAsH3
Source: Alexandria
Functional: PBE
Structure: optimized geometry

Computed properties:
SG ... No. 221
Magnetic moment ... 0.205 μB/atom

a = 3.487 Å, b = 3.487 Å, c = 3.487 Å
α = 90.00°, β = 90.00°, γ = 90.00°
Last column: magnetic moment on the atom in μB.
Atoms (fractional coordinates):
H 0.500 0.000 0.000  -0.01
H 0.000 0.500 0.000  -0.01
H 0.000 0.000 0.500  -0.01
V 0.000 0.000 0.000  1.11
As 0.500 0.500 0.500  -0.09

---

Least stable: A)

---

A) Compound: AsHW
Source: Alexandria
Functional: PBE
Structure: optimized geometry

Computed properties:
SG ... No. 88
Magnetic moment ... 0.000 μB/atom

a = 7.510 Å, b = 10.383 Å, c = 10.383 Å
α = 82.49°, β = 68.80°, γ = 68.80°
Atoms (fractional coordinates):
H 0.610 0.442 0.169
H 0.802 0.669 0.058
H 0.706 0.203 0.404
H 0.090 0.596 0.203
H 0.890 0.404 0.797
H 0.860 0.096 0.703
H 0.660 0.904 0.297
H 0.221 0.558 0.831
H 0.530 0.331 0.942
H 0.140 0.058 0.331
H 0.220 0.169 0.558
H 0.314 0.797 0.596
H 0.044 0.297 0.096
H 0.529 0.942 0.669
H 0.948 0.831 0.442
H 0.436 0.703 0.904
As 0.664 0.663 0.352
As 0.388 0.322 0.614
As 0.679 0.337 0.648
As 0.077 0.852 0.837
As 0.998 0.614 0.678
As 0.086 0.837 0.148
As 0.426 0.822 0.114
As 0.362 0.178 0.886
As 0.673 0.648 0.663
As 0.071 0.163 0.852
As 0.460 0.114 0.178
As 0.324 0.678 0.386
As 0.752 0.886 0.822
As 0.984 0.352 0.337
As 0.290 0.386 0.322
As 0.766 0.148 0.163
W 0.488 0.516 0.868
W 0.067 0.842 0.575
W 0.262 0.984 0.632
W 0.106 0.632 0.016
W 0.485 0.158 0.425
W 0.392 0.925 0.342
W 0.265 0.342 0.075
W 0.644 0.868 0.484
W 0.877 0.016 0.368
W 0.683 0.658 0.925
W 0.660 0.075 0.658
W 0.358 0.575 0.158
W 0.090 0.425 0.842
W 0.754 0.368 0.984
W 0.996 0.132 0.516
W 0.873 0.484 0.132

---

B) Compound: AsHW
Source: Alexandria
Functional: PBE
Structure: optimized geometry

Computed properties:
SG ... No. 84
Magnetic moment ... 0.000 μB/atom

a = 3.228 Å, b = 6.984 Å, c = 6.984 Å
α = 90.00°, β = 90.00°, γ = 90.00°
Atoms (fractional coordinates):
As 0.000 0.091 0.695
As 0.000 0.909 0.305
As 0.500 0.305 0.091
As 0.500 0.695 0.909
H 0.500 0.839 0.577
H 0.000 0.423 0.839
H 0.500 0.161 0.423
H 0.000 0.577 0.161
W 0.000 0.282 0.381
W 0.000 0.718 0.619
W 0.500 0.619 0.282
W 0.500 0.381 0.718

---

Least stable: A)

---

A) Compound: AsH3W
Source: Alexandria
Functional: PBE
Structure: optimized geometry

Computed properties:
SG ... No. 221
Magnetic moment ... 0.000 μB/atom

a = 3.589 Å, b = 3.589 Å, c = 3.589 Å
α = 90.00°, β = 90.00°, γ = 90.00°
Atoms (fractional coordinates):
W 0.000 0.000 0.000
H 0.500 0.000 0.000
H 0.000 0.500 0.000
H 0.000 0.000 0.500
As 0.500 0.500 0.500

---

B) Compound: AsH3W
Source: Alexandria
Functional: PBE
Structure: optimized geometry

Computed properties:
SG ... No. 221
Magnetic moment ... 0.000 μB/atom

a = 3.530 Å, b = 3.530 Å, c = 3.530 Å
α = 90.00°, β = 90.00°, γ = 90.00°
Atoms (fractional coordinates):
W 0.500 0.500 0.500
As 0.000 0.000 0.000
H 0.000 0.000 0.500
H 0.500 0.000 0.000
H 0.000 0.500 0.000

---

Least stable: B)